VASP calculation (GGA-PBE) on a relaxed DyVS2 crystal.

The structure in POSCAR format:
```
DyVS2
1.0
1.8134 1.0470 7.9305
-1.8134 1.0470 7.9305
0.0000 -2.0940 7.9305
Dy V S
1 1 2
Cartesian
0.0000 0.0000 0.0000
0.0000 0.0000 11.8957
0.0000 0.0000 2.6636
0.0000 0.0000 21.1278
```

Properties
**Crystal system**: trigonal
**Theoretical density**: 5.102 Mg/m³
**Raw formation energy**: -0.8190 eV/atom


VASP calculation (GGA-PBE) on a relaxed ScNiBr2 crystal.

The structure in POSCAR format:
```
ScNiBr2
1.0
4.5756 0.0000 0.0000
0.0000 4.5756 0.0000
0.0000 0.0000 3.5260
Sc Ni Br
1 1 2
Cartesian
0.0000 0.0000 0.0000
2.2878 2.2878 0.0000
0.0000 2.2878 1.7630
2.2878 0.0000 1.7630
```

Properties
**Crystal system**: tetragonal
**Theoretical density**: 5.926 Mg/m³
**Raw formation energy**: -0.2629 eV/atom
**Relative energy among the computed polymorphs**: 49.4 kJ/mol of atoms


VASP calculation (GGA-PBE) on a relaxed DyHo4Au2 crystal.

The structure in POSCAR format:
```
DyHo4Au2
1.0
2.4569 1.4185 10.0233
-2.4569 1.4185 10.0233
0.0000 -2.8370 10.0233
Dy Ho Au
1 4 2
Cartesian
0.0000 0.0000 0.0000
0.0000 0.0000 6.0553
0.0000 0.0000 11.9754
0.0000 0.0000 18.0943
0.0000 0.0000 24.0144
0.0000 0.0000 3.0469
0.0000 0.0000 27.0229
```

Properties
**Crystal system**: trigonal
**ΔE_f**: -178.5 kJ/mol of formula units
**Theoretical density**: 9.635 Mg/m³


VASP calculation (GGA-PBE) on a relaxed MnAl2W crystal.

The structure in POSCAR format:
```
MnAl2W
1.0
1.4149 0.8169 8.5044
-1.4149 0.8169 8.5044
0.0000 -1.6338 8.5044
Mn Al W
1 2 1
Cartesian
0.0000 0.0000 0.0000
0.0000 0.0000 6.5179
0.0000 0.0000 12.6964
0.0000 0.0000 18.9375
```

Properties
**Crystal system**: trigonal
**ΔE_f**: 25.7 kJ/mol of formula units
**Theoretical density**: 8.242 Mg/m³
**Relative energy among the computed polymorphs**: 22.9 kJ/mol of atoms


VASP calculation (GGA-PBE) on a relaxed BAuSe2 crystal.

The structure in POSCAR format:
```
BAuSe2
1.0
-2.8430 2.8430 4.8229
2.8430 -2.8430 4.8229
2.8430 2.8430 -4.8229
B Au Se
2 2 4
Cartesian
0.0000 0.0000 0.0000
0.0000 2.8430 2.4114
2.8430 0.0000 2.4114
0.0000 0.0000 4.8229
4.2645 0.9948 -1.2057
0.9948 1.4215 1.2057
-1.4215 1.8483 3.6172
1.8483 1.4215 6.0286
```

Properties
**Crystal system**: tetragonal
**Theoretical density**: 7.789 Mg/m³
**Raw formation energy**: 0.0740 eV/atom


VASP calculation (GGA-PBE) on a relaxed EuYCdPd crystal.

The structure in POSCAR format:
```
EuYCdPd
1.0
0.0000 3.6927 3.6927
3.6927 0.0000 3.6927
3.6927 3.6927 0.0000
Eu Y Cd Pd
1 1 1 1
Cartesian
0.0000 0.0000 0.0000
3.6927 3.6927 3.6927
5.5391 5.5391 5.5391
1.8464 1.8464 1.8464
```

Properties
**Crystal system**: cubic
**ΔE_f**: -181.9 kJ/mol of formula units
**Theoretical density**: 7.580 Mg/m³


VASP calculation (GGA-PBE) on a relaxed Ac2Pu3Si4 crystal.

The structure in POSCAR format:
```
Ac2Pu3Si4
1.0
7.9715 0.0000 0.0000
0.0000 7.9787 0.0000
-2.2425 0.0000 7.2682
Ac Pu Si
4 6 8
Cartesian
1.3454 1.3720 0.5007
0.2241 2.6174 4.1348
5.5048 5.3614 3.1334
4.3835 6.6067 6.7676
1.4772 5.4797 1.8094
0.3560 6.4884 5.4436
2.8645 0.0000 3.6341
3.9857 3.9894 0.0000
5.3730 1.4903 1.8247
4.2517 2.4990 5.4588
-1.3934 4.2444 6.3987
-0.2722 7.7237 2.7646
1.9745 0.8677 6.4164
3.0958 3.1216 2.7822
2.6331 4.8571 4.4860
3.7544 7.1110 0.8519
6.0011 0.2550 4.5037
7.1224 3.7343 0.8695
```

Properties
**Crystal system**: monoclinic
**Theoretical density**: 9.328 Mg/m³
**Raw formation energy**: -0.4701 eV/atom
**Relative energy among the computed polymorphs**: 0.0 kJ/mol of atoms


VASP calculation (GGA-PBE) on a relaxed YHg2Ir crystal.

The structure in POSCAR format:
```
YHg2Ir
1.0
3.7939 0.0000 0.0000
0.0000 3.7939 0.0000
0.0000 0.0000 5.8961
Y Hg Ir
1 2 1
Cartesian
0.0000 0.0000 0.0000
1.8970 1.8970 1.5796
1.8970 1.8970 4.3166
0.0000 0.0000 2.9481
```

Properties
**Crystal system**: tetragonal
**ΔE_f**: -15.9 kJ/mol of formula units
**Theoretical density**: 13.350 Mg/m³
**Relative energy among the computed polymorphs**: 21.2 kJ/mol of atoms